CaCd2Pt after structural relaxation, computed with GGA-PBE.

CIF file:
```
data_CaCd2Pt
_chemical_formula_sum 'Ca1 Cd2 Pt1'
_cell_length_a 3.2833
_cell_length_b 4.8947
_cell_length_c 5.6432
_cell_angle_alpha 90.00
_cell_angle_beta 103.68
_cell_angle_gamma 90.00
_symmetry_space_group_name_H-M 'P 1 2/m 1'
_symmetry_Int_Tables_number 10
loop_
_symmetry_equiv_pos_as_xyz
'x,y,z'
'-x,-y,-z'
'-x,y,-z'
'x,-y,z'
loop_
_atom_site_label
_atom_site_fract_x
_atom_site_fract_y
_atom_site_fract_z
Ca1 0.0000 0.0000 0.0000
Cd1 0.3640 0.5000 0.7270
Pt1 0.5000 0.0000 0.5000
```

As for the formation energy from the elements: -0.36 eV per atom. The crystal system is monoclinic. The electronic total energy comes out at -2.825 eV/atom.